Entry 1:
First-principles (PBE) data for an optimized crystal structure of NaGa2FePb, as listed in Alexandria.

Geometry as CIF:
```
data_NaGa2FePb
_chemical_formula_sum 'Na1 Ga2 Fe1 Pb1'
_cell_length_a 4.696
_cell_length_b 4.696
_cell_length_c 5.080
_cell_angle_alpha 90.00
_cell_angle_beta 90.00
_cell_angle_gamma 90.00
_symmetry_space_group_name_H-M 'P 4/m m m'
_symmetry_Int_Tables_number 123
_symmetry_space_group_name_Hall '-P 4 2'
loop_
_atom_site_label
_atom_site_type_symbol
_atom_site_fract_x
_atom_site_fract_y
_atom_site_fract_z
_atom_site_occupancy
Na1 Na 0.000 0.000 0.000 1
Ga1 Ga 0.000 0.500 0.500 1
Fe1 Fe 0.500 0.500 0.500 1
Pb1 Pb 0.500 0.500 0.000 1
```

Properties
**DOS(E_F)**: 0.371 states/eV per atom
**Formation enthalpy at 0 K**: 0.02 eV per atom

***

Entry 2:
First-principles (PBE) data for an optimized crystal structure of Na2GaFeS, as listed in Alexandria.

Geometry as CIF:
```
data_Na2GaFeS
_chemical_formula_sum 'Na2 Ga1 Fe1 S1'
_cell_length_a 5.269
_cell_length_b 5.269
_cell_length_c 4.249
_cell_angle_alpha 90.00
_cell_angle_beta 90.00
_cell_angle_gamma 90.00
_symmetry_space_group_name_H-M 'P 4/m m m'
_symmetry_Int_Tables_number 123
_symmetry_space_group_name_Hall '-P 4 2'
loop_
_atom_site_label
_atom_site_type_symbol
_atom_site_fract_x
_atom_site_fract_y
_atom_site_fract_z
_atom_site_occupancy
Na1 Na 0.000 0.500 0.000 1
Ga1 Ga 0.000 0.000 0.500 1
Fe1 Fe 0.500 0.500 0.500 1
S1 S 0.500 0.500 0.000 1
```

Properties
**DOS(E_F)**: 1.042 states/eV per atom
**Energy relative to the elements, uncorrected**: 0.09 eV/atom

***

Entry 3:
First-principles (PBE) data for an optimized crystal structure of Na2ScGaFe, as listed in Alexandria.

Geometry as CIF:
```
data_Na2ScGaFe
_chemical_formula_sum 'Na2 Sc1 Ga1 Fe1'
_cell_length_a 5.774
_cell_length_b 5.774
_cell_length_c 4.175
_cell_angle_alpha 90.00
_cell_angle_beta 90.00
_cell_angle_gamma 90.00
_symmetry_space_group_name_H-M 'P 4/m m m'
_symmetry_Int_Tables_number 123
_symmetry_space_group_name_Hall '-P 4 2'
loop_
_atom_site_label
_atom_site_type_symbol
_atom_site_fract_x
_atom_site_fract_y
_atom_site_fract_z
_atom_site_occupancy
Na1 Na 0.000 0.500 0.000 1
Sc1 Sc 0.000 0.000 0.000 1
Ga1 Ga 0.500 0.500 0.500 1
Fe1 Fe 0.000 0.000 0.500 1
```

Properties
**DOS(E_F)**: 1.053 states/eV per atom
**Formation enthalpy at 0 K**: 1.05 eV per atom

***

Entry 4:
First-principles (PBE) data for an optimized crystal structure of NaScGa2Fe, as listed in Alexandria.

Geometry as CIF:
```
data_NaScGa2Fe
_chemical_formula_sum 'Na1 Sc1 Ga2 Fe1'
_cell_length_a 4.549
_cell_length_b 4.549
_cell_length_c 4.794
_cell_angle_alpha 90.00
_cell_angle_beta 90.00
_cell_angle_gamma 90.00
_symmetry_space_group_name_H-M 'P 4/m m m'
_symmetry_Int_Tables_number 123
_symmetry_space_group_name_Hall '-P 4 2'
loop_
_atom_site_label
_atom_site_type_symbol
_atom_site_fract_x
_atom_site_fract_y
_atom_site_fract_z
_atom_site_occupancy
Na1 Na 0.000 0.000 0.000 1
Sc1 Sc 0.500 0.500 0.000 1
Ga1 Ga 0.000 0.500 0.500 1
Fe1 Fe 0.000 0.000 0.500 1
```

Properties
**DOS(E_F)**: 1.264 states/eV per atom
**Formation enthalpy at 0 K**: 0.30 eV per atom

***

Entry 5:
First-principles (PBE) data for an optimized crystal structure of NaGaFe2Se, as listed in Alexandria.

Geometry as CIF:
```
data_NaGaFe2Se
_chemical_formula_sum 'Na1 Ga1 Fe2 Se1'
_cell_length_a 4.603
_cell_length_b 4.603
_cell_length_c 5.323
_cell_angle_alpha 90.00
_cell_angle_beta 90.00
_cell_angle_gamma 90.00
_symmetry_space_group_name_H-M 'P 4/m m m'
_symmetry_Int_Tables_number 123
_symmetry_space_group_name_Hall '-P 4 2'
loop_
_atom_site_label
_atom_site_type_symbol
_atom_site_fract_x
_atom_site_fract_y
_atom_site_fract_z
_atom_site_occupancy
Na1 Na 0.000 0.000 0.000 1
Ga1 Ga 0.500 0.500 0.500 1
Fe1 Fe 0.000 0.500 0.500 1
Se1 Se 0.500 0.500 0.000 1
```

Properties
**DOS(E_F)**: 1.658 states/eV per atom
**Energy relative to the elements, uncorrected**: 0.66 eV/atom

***

Entry 6:
First-principles (PBE) data for an optimized crystal structure of NaGa2FeSn, as listed in Alexandria.

Geometry as CIF:
```
data_NaGa2FeSn
_chemical_formula_sum 'Na1 Ga2 Fe1 Sn1'
_cell_length_a 4.678
_cell_length_b 4.678
_cell_length_c 4.917
_cell_angle_alpha 90.00
_cell_angle_beta 90.00
_cell_angle_gamma 90.00
_symmetry_space_group_name_H-M 'P 4/m m m'
_symmetry_Int_Tables_number 123
_symmetry_space_group_name_Hall '-P 4 2'
loop_
_atom_site_label
_atom_site_type_symbol
_atom_site_fract_x
_atom_site_fract_y
_atom_site_fract_z
_atom_site_occupancy
Na1 Na 0.000 0.000 0.000 1
Ga1 Ga 0.000 0.500 0.500 1
Fe1 Fe 0.500 0.500 0.500 1
Sn1 Sn 0.500 0.500 0.000 1
```

Properties
**DOS(E_F)**: 0.385 states/eV per atom
**Formation enthalpy at 0 K**: -0.07 eV per atom